A plane-wave DFT calculation with GGA-PBE was carried out for an optimized crystal structure of PrTh11.

Summary:
Symmetry: P6/mmm (191)
Fermi-level density of states (states/eV per cell): 19.4
Energy of formation (eV/atom): 0.108

Cell: 3.495 11.434 11.434 Å, 120.00 90.00 90.00°
Positions (direct):
Th 0.000 0.500 0.500
Th 0.500 0.827 0.173
Th 0.000 0.333 0.667
Th 0.000 0.000 0.500
Th 0.500 0.347 0.173
Th 0.000 0.667 0.333
Th 0.500 0.653 0.827
Th 0.000 0.500 0.000
Th 0.500 0.173 0.347
Th 0.500 0.173 0.827
Th 0.500 0.827 0.653
Pr 0.000 0.000 0.000



A plane-wave DFT calculation with GGA-PBE was carried out for an optimized crystal structure of Pr3Th2.

Summary:
Symmetry: Cmmm (65)
Fermi-level density of states (states/eV per cell): 7.4
Energy of formation (eV/atom): 0.122

Cell: 3.531 5.681 9.171 Å, 108.04 90.00 90.00°
Positions (direct):
Th 0.500 0.294 0.588
Th 0.500 0.706 0.412
Pr 0.500 0.500 0.000
Pr 0.000 0.895 0.790
Pr 0.000 0.105 0.210



A plane-wave DFT calculation with GGA-PBE was carried out for an optimized crystal structure of Pr5Th2.

Summary:
Symmetry: C2/m (12)
Fermi-level density of states (states/eV per cell): 13.5
Energy of formation (eV/atom): 0.144

Cell: 5.674 5.674 8.855 Å, 98.79 102.83 114.51°
Positions (direct):
Pr 0.150 0.072 0.722
Pr 0.709 0.359 0.569
Pr 0.850 0.928 0.278
Pr 0.000 0.500 0.000
Pr 0.291 0.641 0.431
Th 0.572 0.793 0.866
Th 0.428 0.207 0.134



A plane-wave DFT calculation with GGA-PBE was carried out for an optimized crystal structure of PrTh3.

Summary:
Symmetry: I4/mmm (139)
Fermi-level density of states (states/eV per cell): 6.3
Energy of formation (eV/atom): 0.073

Cell: 5.090 5.090 6.224 Å, 114.14 114.14 90.00°
Positions (direct):
Th 0.250 0.750 0.500
Th 0.750 0.250 0.500
Th 0.500 0.500 0.000
Pr 0.000 0.000 0.000



A plane-wave DFT calculation with GGA-PBE was carried out for an optimized crystal structure of PrTh3.

Summary:
Symmetry: Imm2 (44)
Fermi-level density of states (states/eV per cell): 4.8
Energy of formation (eV/atom): 0.080

Cell: 3.579 6.244 6.971 Å, 116.61 104.88 90.00°
Positions (direct):
Th 0.751 0.083 0.502
Th 0.500 0.499 0.000
Th 0.249 0.581 0.498
Pr 0.000 0.004 0.000



A plane-wave DFT calculation with GGA-PBE was carried out for an optimized crystal structure of Pr6Th.

Summary:
Symmetry: Im-3m (229)
Fermi-level density of states (states/eV per cell): 10.6
Energy of formation (eV/atom): 1.286

Cell: 7.148 7.148 7.148 Å, 109.47 109.47 109.47°
Positions (direct):
Pr 0.250 0.500 0.750
Pr 0.750 0.500 0.250
Pr 0.750 0.250 0.500
Pr 0.250 0.750 0.500
Pr 0.500 0.750 0.250
Pr 0.500 0.250 0.750
Th 0.000 0.000 0.000



A plane-wave DFT calculation with GGA-PBE was carried out for an optimized crystal structure of PrTh3.

Summary:
Symmetry: Pm-3m (221)
Fermi-level density of states (states/eV per cell): 6.1
Energy of formation (eV/atom): 0.084

Cell: 5.087 5.087 5.087 Å, 90.00 90.00 90.00°
Positions (direct):
Th 0.500 0.000 0.500
Th 0.000 0.500 0.500
Th 0.500 0.500 0.000
Pr 0.000 0.000 0.000



A plane-wave DFT calculation with GGA-PBE was carried out for an optimized crystal structure of PrTh5.

Summary:
Symmetry: P4/mmm (123)
Fermi-level density of states (states/eV per cell): 9.4
Energy of formation (eV/atom): 0.035

Cell: 3.595 3.595 15.215 Å, 90.00 90.00 90.00°
Positions (direct):
Pr 0.500 0.500 0.500
Th 0.000 0.000 0.674
Th 0.000 0.000 0.000
Th 0.500 0.500 0.836
Th 0.000 0.000 0.326
Th 0.500 0.500 0.164



A plane-wave DFT calculation with GGA-PBE was carried out for an optimized crystal structure of PrTh4.

Summary:
Symmetry: C2/m (12)
Fermi-level density of states (states/eV per cell): 8.2
Energy of formation (eV/atom): 0.066

Cell: 3.575 3.579 15.508 Å, 76.64 90.00 119.96°
Positions (direct):
Th 0.465 0.930 0.795
Th 0.736 0.473 0.401
Th 0.264 0.527 0.599
Th 0.535 0.070 0.205
Pr 0.000 0.000 0.000



A plane-wave DFT calculation with GGA-PBE was carried out for an optimized crystal structure of PrTh4.

Summary:
Symmetry: Pm-3m (221)
Fermi-level density of states (states/eV per cell): 9.0
Energy of formation (eV/atom): 0.988

Cell: 5.742 5.742 5.742 Å, 90.00 90.00 90.00°
Positions (direct):
Th 0.500 0.000 0.500
Th 0.500 0.500 0.000
Th 0.000 0.000 0.000
Th 0.000 0.500 0.500
Pr 0.500 0.500 0.500



A plane-wave DFT calculation with GGA-PBE was carried out for an optimized crystal structure of Pr4Th5.

Summary:
Symmetry: I4/mmm (139)
Fermi-level density of states (states/eV per cell): 17.7
Energy of formation (eV/atom): 0.131

Cell: 3.619 9.322 9.322 Å, 87.84 78.81 78.81°
Positions (direct):
Th 0.335 0.000 0.331
Th 0.665 0.669 0.000
Th 0.000 0.000 0.000
Th 0.335 0.331 0.000
Th 0.665 0.000 0.669
Pr 0.672 0.328 0.328
Pr 0.000 0.672 0.328
Pr 0.328 0.672 0.672
Pr 0.000 0.328 0.672



A plane-wave DFT calculation with GGA-PBE was carried out for an optimized crystal structure of Pr3Th.

Summary:
Symmetry: Pm-3m (221)
Fermi-level density of states (states/eV per cell): 5.1
Energy of formation (eV/atom): 0.069

Cell: 5.193 5.193 5.193 Å, 90.00 90.00 90.00°
Positions (direct):
Pr 0.500 0.500 0.000
Pr 0.500 0.000 0.500
Pr 0.000 0.500 0.500
Th 0.000 0.000 0.000



What is the formula in the sixth record?
Pr6Th



What is the energy of formation in the second record?
0.122 eV/atom



Which of these has the lowest energy of formation?
PrTh5



Which value of energy of formation does entry 8 give?
0.035 eV/atom